[1]
MgSnGeO5 GGA-PBE optimized geometry; energy = -6.2394 eV per atom; DOS at the Fermi energy = 0.00 states/eV/cell; E_form (uncorrected) = -1864 meV per atom; crystal system = monoclinic; space-group type = No. 15
1.0
5.522 0.048 -0.046
-1.566 5.295 -0.046
-1.700 -2.296 6.794
Mg Sn Ge O
2 2 2 10
Direct
0.333 0.667 0.250
0.667 0.333 0.750
0.000 0.000 0.500
0.000 0.000 0.000
0.677 0.323 0.250
0.323 0.677 0.750
0.103 0.897 0.250
0.897 0.103 0.750
0.933 0.343 0.142
0.067 0.657 0.858
0.657 0.067 0.358
0.343 0.933 0.642
0.712 0.623 0.425
0.288 0.377 0.575
0.377 0.288 0.075
0.623 0.712 0.925

***

[2]
NdNpPdO6 GGA-PBE optimized geometry; energy = -8.0978 eV per atom; DOS at the Fermi energy = 16.32 states/eV/cell; E_form (uncorrected) = -2248 meV per atom; crystal system = trigonal; space-group type = No. 163
1.0
-1.255 -2.147 4.791
-2.130 -2.049 -4.517
8.142 -6.625 -0.835
Nd Np Pd O
2 2 2 12
Direct
0.000 0.000 0.000
0.000 0.000 0.500
0.667 0.333 0.250
0.333 0.667 0.750
0.333 0.667 0.250
0.667 0.333 0.750
0.650 0.645 0.139
0.995 0.350 0.139
0.350 0.995 0.639
0.005 0.650 0.861
0.355 0.350 0.361
0.995 0.645 0.361
0.645 0.995 0.861
0.650 0.005 0.361
0.005 0.355 0.639
0.355 0.005 0.139
0.645 0.650 0.639
0.350 0.355 0.861

***

[3]
BaDyTlZn GGA-PBE optimized geometry; energy = -2.7068 eV per atom; DOS at the Fermi energy = 3.10 states/eV/cell; formation enthalpy at 0 K = -0.17 eV per atom; crystal system = cubic; space-group type = No. 216
1.0
-4.467 0.149 3.370
0.625 -0.760 5.511
-0.711 4.297 3.517
Zn Tl Ba Dy
1 1 1 1
Direct
0.000 0.000 0.000
0.500 0.500 0.500
0.250 0.250 0.250
0.750 0.750 0.750

***

[4]
AlInTe2 GGA-PBE optimized geometry; energy = -3.0302 eV per atom; DOS at the Fermi energy = 1.61 states/eV/cell; E_form (uncorrected) = 161 meV per atom; crystal system = monoclinic; space-group type = No. 12
1.0
-3.907 4.994 -1.473
-2.352 -6.045 0.540
-1.300 0.337 2.852
Te Al In
2 1 1
Direct
0.000 0.000 0.000
0.500 0.500 0.000
0.500 0.000 0.500
0.000 0.500 0.500

***

[5]
Cs2MnRh GGA-PBE optimized geometry; energy = -3.2282 eV per atom; DOS at the Fermi energy = 4.98 states/eV/cell; formation enthalpy at 0 K = 1.33 eV per atom; crystal system = cubic; space-group type = No. 225
1.0
0.000 3.921 3.921
3.921 0.000 3.921
3.921 3.921 0.000
Cs Mn Rh
2 1 1
Direct
0.250 0.250 0.250
0.750 0.750 0.750
0.000 0.000 0.000
0.500 0.500 0.500

***

[6]
MnCo3As2 GGA-PBE optimized geometry; energy = -6.7627 eV per atom; DOS at the Fermi energy = 10.55 states/eV/cell; formation enthalpy at 0 K = -0.13 eV per atom; crystal system = monoclinic; space-group type = No. 12
1.0
-3.252 1.249 -1.083
0.357 -7.329 -3.381
-3.059 -0.849 8.211
Mn Co As
3 9 6
Direct
0.135 0.270 0.683
0.865 0.730 0.317
0.000 0.000 0.000
0.039 0.077 0.326
0.961 0.923 0.674
0.211 0.422 0.392
0.789 0.578 0.608
0.606 0.211 0.182
0.394 0.789 0.818
0.500 0.000 0.500
0.313 0.625 0.041
0.687 0.375 0.959
0.190 0.379 0.125
0.810 0.621 0.875
0.455 0.910 0.204
0.545 0.090 0.796
0.360 0.720 0.535
0.640 0.280 0.465

***

[7]
Mg2Zn2In3 GGA-PBE optimized geometry; energy = -2.0298 eV per atom; DOS at the Fermi energy = 2.93 states/eV/cell; formation enthalpy at 0 K = -0.04 eV per atom; crystal system = orthorhombic; space-group type = No. 65
1.0
3.238 0.000 0.000
0.000 4.326 -0.851
0.000 -0.095 10.934
Mg Zn In
2 2 3
Direct
0.000 0.832 0.665
0.000 0.168 0.335
0.500 0.719 0.437
0.500 0.281 0.563
0.500 0.585 0.171
0.500 0.415 0.829
0.000 0.000 0.000

***

[8]
CeSm2Tm3 GGA-PBE optimized geometry; energy = -4.6451 eV per atom; DOS at the Fermi energy = 24.04 states/eV/cell; relative energy among the computed polymorphs = 25 meV per atom; formation enthalpy at 0 K = 0.15 eV per atom; crystal system = monoclinic; space-group type = No. 12
1.0
3.447 0.000 0.000
1.724 8.826 0.100
1.724 2.201 12.528
Ce Sm Tm
2 4 6
Direct
0.442 0.481 0.635
0.558 0.519 0.365
0.821 0.480 0.878
0.179 0.520 0.122
0.653 0.162 0.532
0.347 0.838 0.468
0.039 0.131 0.792
0.961 0.869 0.208
0.599 0.828 0.973
0.401 0.172 0.027
0.737 0.819 0.707
0.263 0.181 0.293